Record 1
First-principles (GGA-PBE) data for crystalline Sn3BiSe6 at its relaxed geometry, as listed in the Alexandria database.

a b c (Å): 3.9767 12.0620 13.7538
angles (deg): 116.97 90.00 90.00
Atoms (fractional coordinates):
Se: 0.2500 0.6268 0.0976
Se: 0.7500 0.1930 0.5766
Se: 0.2500 0.3441 0.4192
Se: 0.2500 0.8070 0.4234
Se: 0.2500 0.5076 0.7368
Se: 0.7500 0.4924 0.2632
Se: 0.7500 0.9593 0.2619
Se: 0.7500 0.6559 0.5808
Se: 0.7500 0.1617 0.0413
Se: 0.7500 0.3732 0.9024
Se: 0.2500 0.0407 0.7381
Se: 0.2500 0.8383 0.9587
Bi: 0.7500 0.6596 0.9480
Bi: 0.2500 0.3404 0.0520
Sn: 0.7500 0.4198 0.5737
Sn: 0.7500 0.9661 0.8303
Sn: 0.2500 0.2671 0.7320
Sn: 0.7500 0.7329 0.2680
Sn: 0.2500 0.0339 0.1697
Sn: 0.2500 0.5802 0.4263

## Properties
For the energy relative to the lowest polymorph listed for this composition, the calculation gives 29 meV per atom. The calculation puts the density at 5.868 g/cm3. The value obtained for the uncorrected formation energy is -318 kJ/mol of formula units.

Record 2
First-principles (GGA-PBE) data for crystalline YHfTcAg at its relaxed geometry, as listed in the Alexandria database.

a b c (Å): 4.8380 4.8380 4.8380
angles (deg): 60.00 60.00 60.00
Atoms (fractional coordinates):
Y: 0.0000 0.0000 0.0000
Hf: 0.5000 0.5000 0.5000
Ag: 0.7500 0.7500 0.7500
Tc: 0.2500 0.2500 0.2500

## Properties
The calculation puts the density at 9.815 g/cm3. As for the calculated formation energy: -126.1 meV per atom.

Record 3
First-principles (GGA-PBE) data for crystalline PaInTc at its relaxed geometry, as listed in the Alexandria database.

a b c (Å): 3.2616 3.2616 6.4331
angles (deg): 104.68 104.68 90.00
Atoms (fractional coordinates):
In: 0.0233 0.0233 0.0465
Tc: 0.6692 0.6692 0.3384
Pa: 0.3076 0.3076 0.6151

## Properties
For the energy relative to the lowest polymorph listed for this composition, the calculation gives 179 meV per atom. The calculation puts the density at 11.537 g/cm3. As for the calculated formation energy: -92.9 meV per atom.

Record 4
First-principles (GGA-PBE) data for crystalline ScMnTlTe4 at its relaxed geometry, as listed in the Alexandria database.

a b c (Å): 7.4084 6.1745 9.9785
angles (deg): 90.00 108.34 90.00
Last column: magnetic moment on the atom in μB.
Atoms (fractional coordinates):
Tl: 0.7659 0.7500 0.9572  0.00
Tl: 0.2341 0.2500 0.0428  0.00
Te: 0.0203 0.9962 0.6989  -0.02
Te: 0.4558 0.7500 0.1481  -0.04
Te: 0.9797 0.4962 0.3011  -0.02
Te: 0.5442 0.2500 0.8519  -0.04
Te: 0.4618 0.7500 0.6086  -0.03
Te: 0.0203 0.5038 0.6989  -0.02
Te: 0.5382 0.2500 0.3914  -0.03
Te: 0.9797 0.0038 0.3011  -0.02
Mn: 0.7147 0.2500 0.6619  3.76
Mn: 0.2853 0.7500 0.3381  3.76
Sc: 0.7396 0.7500 0.4432  0.15
Sc: 0.2604 0.2500 0.5568  0.15

## Properties
The calculation puts the density at 6.245 g/cm3. The value obtained for the uncorrected formation energy is -315 kJ/mol of formula units.

Record 5
First-principles (GGA-PBE) data for crystalline Zn2In at its relaxed geometry, as listed in the Alexandria database.

a b c (Å): 6.3135 6.3135 6.3848
angles (deg): 72.62 72.62 28.94
Atoms (fractional coordinates):
Zn: 0.1645 0.1645 0.9807
Zn: 0.2119 0.2119 0.3637
Zn: 0.7881 0.7881 0.6363
Zn: 0.8355 0.8355 0.0193
In: 0.4730 0.4730 0.2770
In: 0.5270 0.5270 0.7230

## Properties
The calculation puts the density at 6.964 g/cm3. As for the calculated formation energy: 97.9 meV per atom.

Record 6
First-principles (GGA-PBE) data for crystalline BaCa2Pd2 at its relaxed geometry, as listed in the Alexandria database.

a b c (Å): 4.5601 5.8762 6.4632
angles (deg): 103.86 110.66 90.00
Atoms (fractional coordinates):
Ba: 0.0000 0.0000 0.0000
Ca: 0.6635 0.6063 0.3270
Ca: 0.3365 0.3937 0.6730
Pd: 0.7185 0.1276 0.4370
Pd: 0.2815 0.8724 0.5630

## Properties
For the energy relative to the lowest polymorph listed for this composition, the calculation gives 0 meV per atom. The calculation puts the density at 4.561 g/cm3. As for the calculated formation energy: -509.1 meV per atom.

Record 7
First-principles (GGA-PBE) data for crystalline Zr2Nb13 at its relaxed geometry, as listed in the Alexandria database.

a b c (Å): 7.4098 7.4098 8.3781
angles (deg): 63.75 63.75 60.00
Atoms (fractional coordinates):
Nb: 0.3752 0.3752 0.2511
Nb: 0.7465 0.7465 0.3637
Nb: 0.6248 0.0015 0.7489
Nb: 0.9985 0.3752 0.2511
Nb: 0.7465 0.1433 0.3637
Nb: 0.3752 0.9985 0.2511
Nb: 0.1433 0.7465 0.3637
Nb: 0.0015 0.6248 0.7489
Nb: 0.8567 0.2535 0.6363
Nb: 0.6248 0.6248 0.7489
Nb: 0.5000 0.5000 0.5000
Nb: 0.2535 0.8567 0.6363
Nb: 0.2535 0.2535 0.6363
Zr: 0.3655 0.3655 0.9034
Zr: 0.6345 0.6345 0.0966

## Properties
The calculation puts the density at 6.740 g/cm3. As for the calculated formation energy: 795.2 meV per atom.

Record 8
First-principles (GGA-PBE) data for crystalline La7Nd4Er at its relaxed geometry, as listed in the Alexandria database.

a b c (Å): 6.1671 9.9465 8.9080
angles (deg): 60.24 69.75 71.94
Atoms (fractional coordinates):
La: 0.5000 0.0000 0.0000
La: 0.7951 0.8732 0.5366
La: 0.7929 0.2167 0.1975
La: 0.2071 0.7833 0.8025
La: 0.2049 0.1268 0.4634
La: 0.9189 0.4304 0.7318
La: 0.0811 0.5696 0.2682
Nd: 0.4260 0.7013 0.4466
Nd: 0.3274 0.3934 0.9519
Nd: 0.6726 0.6066 0.0481
Nd: 0.5740 0.2987 0.5534
Er: 0.0000 0.0000 0.0000

## Properties
For the energy relative to the lowest polymorph listed for this composition, the calculation gives 183 meV per atom. The calculation puts the density at 6.500 g/cm3. As for the calculated formation energy: 198.5 meV per atom.

Record 9
First-principles (GGA-PBE) data for crystalline LaWI2N at its relaxed geometry, as listed in the Alexandria database.

a b c (Å): 6.3636 6.3636 4.0761
angles (deg): 90.00 90.00 90.00
Last column: magnetic moment on the atom in μB.
Atoms (fractional coordinates):
I: 0.5000 0.0000 0.0000  0.01
I: 0.0000 0.5000 0.0000  0.01
La: 0.0000 0.0000 0.0000  -0.09
W: 0.5000 0.5000 0.5000  -0.16
N: 0.0000 0.0000 0.5000  -0.10

## Properties
For the energy relative to the lowest polymorph listed for this composition, the calculation gives 1241 meV per atom. The calculation puts the density at 5.941 g/cm3. The value obtained for the uncorrected formation energy is 578 kJ/mol of formula units.

Record 10
First-principles (GGA-PBE) data for crystalline Rb2SrAsF6 at its relaxed geometry, as listed in the Alexandria database.

a b c (Å): 6.2818 6.2818 7.0964
angles (deg): 63.73 63.73 90.00
Last column: magnetic moment on the atom in μB.
Atoms (fractional coordinates):
Sr: 0.0000 0.0000 0.0000  0.00
As: 0.5000 0.5000 0.0000  0.43
F: 0.2691 0.2691 0.0000  0.02
F: 0.7309 0.2691 0.0000  0.02
F: 0.2691 0.7309 0.0000  0.02
F: 0.7862 0.7862 0.4276  0.02
F: 0.7309 0.7309 0.0000  0.02
F: 0.2138 0.2138 0.5724  0.02
Rb: 0.7500 0.2500 0.5000  0.00
Rb: 0.2500 0.7500 0.5000  0.00

## Properties
The calculation puts the density at 3.402 g/cm3. The value obtained for the uncorrected formation energy is -2578 kJ/mol of formula units.

Record 11
First-principles (GGA-PBE) data for crystalline TmTcC2 at its relaxed geometry, as listed in the Alexandria database.

a b c (Å): 3.1994 3.1994 5.7064
angles (deg): 73.72 73.72 60.00
Atoms (fractional coordinates):
Tc: 0.0000 0.0000 0.0000
Tm: 0.5000 0.5000 0.5000
C: 0.7391 0.7391 0.7826
C: 0.2609 0.2609 0.2174

## Properties
The calculation puts the density at 10.095 g/cm3. As for the calculated formation energy: -5.1 meV per atom.

Record 12
First-principles (GGA-PBE) data for crystalline CaFe3Te at its relaxed geometry, as listed in the Alexandria database.

a b c (Å): 4.6951 4.6951 4.6951
angles (deg): 90.00 90.00 90.00
Last column: magnetic moment on the atom in μB.
Atoms (fractional coordinates):
Fe: 0.5000 0.0000 0.0000  2.77
Fe: 0.0000 0.5000 0.0000  2.62
Fe: 0.0000 0.0000 0.5000  2.41
Te: 0.5000 0.5000 0.5000  0.07
Ca: 0.0000 0.0000 0.0000  -0.26

## Properties
For the energy relative to the lowest polymorph listed for this composition, the calculation gives 1029 meV per atom. The calculation puts the density at 5.378 g/cm3. The value obtained for the uncorrected formation energy is 839 kJ/mol of formula units.